Entry from the Alexandria database: a geometry-optimized IrRu structure (GGA-PBE).

## Properties
Distance to the lowest polymorph of the same formula = 0.069 eV/atom
Formation energy from the elements = 14 meV/atom

a = 2.720 Å, b = 2.720 Å, c = 7.695 Å
α = 90.00°, β = 90.00°, γ = 90.00°
Atoms (fractional coordinates):
Ir (0.250, 0.250, 0.130)
Ir (0.750, 0.750, 0.870)
Ru (0.250, 0.250, 0.625)
Ru (0.750, 0.750, 0.375)